## TcRh3 (SCAN)

Data for a PBEsol-optimized structure of TcRh3.

Values from the calculation:
**ΔH_f (0 K)**: -0.07 eV/atom
**Final energy**: -2.5109 Ry/atom
**ρ**: 12485 kg/m3
**SG**: No. 123

Structure (extended XYZ):
```
4
Lattice="2.6640 0.0000 0.0000 0.0000 2.6640 0.0000 0.0000 0.0000 7.6221" Properties=species:S:1:pos:R:3 pbc="T T T"
Tc 0.0000 0.0000 0.0000
Rh 0.0000 0.0000 3.8111
Rh 1.3320 1.3320 1.8818
Rh 1.3320 1.3320 5.7404
```